Material: Pm2DyAg4
Method: DFT, PBE-GGA
State: optimized geometry

Lattice parameters (Å, degrees): 5.3729 5.3729 12.8626 90.00 90.00 90.00
Last column: nearest neighbours and their distance in Å.
Space group I4/mmm (No. 139)
Unique sites:
Pm  0.0000  0.0000  0.2211 (multiplicity 4)  4 Ag 3.01
Dy  0.0000  0.0000  0.5000 (multiplicity 2)  8 Ag 3.07
Ag  0.0000  0.5000  0.1155 (multiplicity 8)  1 Ag 2.97, 2 Pm 3.01, 2 Dy 3.07

Calculated values
- total DFT energy (no corrections) (eV per atom) = -3.751
- ΔH_f (0 K) (meV per atom) = -106
- magnetic moment (μB per atom) = 0.000

Material: Pm5DyAg6
Method: DFT, PBE-GGA
State: optimized geometry

Lattice parameters (Å, degrees): 5.2804 7.3509 8.3423 90.00 108.03 90.00
Last column: nearest neighbours and their distance in Å.
Space group P2/m (No. 10)
Unique sites:
Pm  0.0000  0.0000  0.0000 (multiplicity 1)  8 Ag 3.20-3.25
Pm  0.3322  0.0000  0.6645 (multiplicity 2)  8 Ag 3.23-3.26
Pm  0.3341  0.5000  0.6680 (multiplicity 2)  8 Ag 3.18-3.25
Dy  0.0000  0.5000  0.0000 (multiplicity 1)  8 Ag 3.16-3.19
Ag  0.1637  0.2539  0.3273 (multiplicity 4)  1 Dy 3.16, 7 Pm 3.20-3.26
Ag  0.5000  0.2568  0.0000 (multiplicity 2)  6 Pm 3.18-3.26, 2 Dy 3.19

Calculated values
- total DFT energy (no corrections) (eV per atom) = -4.067
- ΔH_f (0 K) (meV per atom) = -278
- magnetic moment (μB per atom) = 0.000

Material: Pm2DyAg2
Method: DFT, PBE-GGA
State: optimized geometry

Lattice parameters (Å, degrees): 5.8050 4.7322 10.8818 90.00 97.25 90.00
Last column: nearest neighbours and their distance in Å.
Space group P2_1/m (No. 11)
Unique sites:
Pm  0.1070  0.2500  0.3779 (multiplicity 2)  5 Ag 3.02-3.17
Pm  0.2554  0.2500  0.0469 (multiplicity 2)  4 Ag 3.04-3.13
Dy  0.4113  0.2500  0.7159 (multiplicity 2)  5 Ag 3.08-3.11
Ag  0.2296  0.7500  0.8577 (multiplicity 2)  5 Pm 3.02-3.13, 2 Dy 3.08
Ag  0.3698  0.7500  0.5309 (multiplicity 2)  2 Ag 2.93, 4 Pm 3.06-3.17, 3 Dy 3.10-3.11

Calculated values
- total DFT energy (no corrections) (eV per atom) = -4.040
- ΔH_f (0 K) (meV per atom) = -79
- magnetic moment (μB per atom) = 0.000
- distance to the lowest polymorph of the same formula (meV/atom) = 124

Material: PmPrDyAg
Method: DFT, PBE-GGA
State: optimized geometry

Lattice parameters (Å, degrees): 3.6805 3.6805 8.8298 90.00 90.00 90.00
Last column: nearest neighbours and their distance in Å.
Space group P4mm (No. 99)
Unique sites:
Pm  0.0000  0.0000  0.0000 (multiplicity 1)  4 Ag 3.26
Pr  0.5000  0.5000  0.2954 (multiplicity 1)  4 Dy 3.64, 4 Pr 3.68, 4 Pm 3.68
Dy  0.0000  0.0000  0.5839 (multiplicity 1)  4 Ag 3.12
Ag  0.5000  0.5000  0.7783 (multiplicity 1)  4 Dy 3.12, 4 Pm 3.26

Calculated values
- total DFT energy (no corrections) (eV per atom) = -4.370
- ΔH_f (0 K) (meV per atom) = -124
- magnetic moment (μB per atom) = 0.000
- distance to the lowest polymorph of the same formula (meV/atom) = 0

Material: PmPrDyAg
Method: DFT, PBE-GGA
State: optimized geometry

Lattice parameters (Å, degrees): 7.7666 7.7666 7.7666 90.00 90.00 90.00
Last column: nearest neighbours and their distance in Å.
Space group F-43m (No. 216)
Unique sites:
Pm  0.0000  0.0000  0.0000 (multiplicity 4)  4 Dy 3.36, 4 Pr 3.36
Pr  0.2500  0.2500  0.2500 (multiplicity 4)  4 Pm 3.36, 4 Ag 3.36
Dy  0.2500  0.2500  0.7500 (multiplicity 4)  4 Pm 3.36, 4 Ag 3.36
Ag  0.0000  0.0000  0.5000 (multiplicity 4)  4 Dy 3.36, 4 Pr 3.36

Calculated values
- total DFT energy (no corrections) (eV per atom) = -4.143
- ΔH_f (0 K) (meV per atom) = 103
- magnetic moment (μB per atom) = 0.000
- distance to the lowest polymorph of the same formula (meV/atom) = 226

Material: PmDyAgPt
Method: DFT, PBE-GGA
State: optimized geometry

Lattice parameters (Å, degrees): 7.1992 7.1992 7.1992 90.00 90.00 90.00
Last column: nearest neighbours and their distance in Å.
Space group F-43m (No. 216)
Unique sites:
Pm  0.0000  0.0000  0.0000 (multiplicity 4)  4 Pt 3.12, 4 Ag 3.12
Dy  0.0000  0.0000  0.5000 (multiplicity 4)  4 Ag 3.12, 4 Pt 3.12
Ag  0.2500  0.2500  0.2500 (multiplicity 4)  4 Pm 3.12, 4 Dy 3.12
Pt  0.2500  0.2500  0.7500 (multiplicity 4)  4 Dy 3.12, 4 Pm 3.12

Calculated values
- total DFT energy (no corrections) (eV per atom) = -5.294
- ΔH_f (0 K) (meV per atom) = -732
- magnetic moment (μB per atom) = 0.000
- distance to the lowest polymorph of the same formula (meV/atom) = 14

Material: PmDyAgPt
Method: DFT, PBE-GGA
State: optimized geometry

Lattice parameters (Å, degrees): 4.6653 3.8380 10.8468 90.00 90.00 90.00
Last column: nearest neighbours and their distance in Å.
Space group Amm2 (No. 38)
Unique sites:
Pm  0.0000  0.0000  0.0000 (multiplicity 2)  3 Pt 2.97-3.12, 4 Ag 3.09
Dy  0.5000  0.0000  0.2769 (multiplicity 2)  3 Ag 3.05, 4 Pt 3.07
Ag  0.5000  0.0000  0.5581 (multiplicity 2)  2 Pt 2.96, 3 Dy 3.05, 4 Pm 3.09
Pt  0.0000  0.0000  0.7264 (multiplicity 2)  2 Ag 2.96, 3 Pm 2.97-3.12, 4 Dy 3.07

Calculated values
- total DFT energy (no corrections) (eV per atom) = -5.308
- ΔH_f (0 K) (meV per atom) = -747
- magnetic moment (μB per atom) = 0.000
- distance to the lowest polymorph of the same formula (meV/atom) = 0

Material: PmDyAgRh
Method: DFT, PBE-GGA
State: optimized geometry

Lattice parameters (Å, degrees): 3.5484 3.5484 7.2824 90.00 90.00 90.00
Last column: nearest neighbours and their distance in Å.
Space group P4mm (No. 99)
Unique sites:
Pm  0.0000  0.0000  0.0000 (multiplicity 1)  4 Rh 3.06, 4 Ag 3.26, 1 Dy 3.34
Dy  0.0000  0.0000  0.5416 (multiplicity 1)  4 Rh 2.97, 4 Ag 3.13
Ag  0.5000  0.5000  0.2850 (multiplicity 1)  4 Dy 3.13, 4 Pm 3.26, 1 Rh 3.46
Rh  0.5000  0.5000  0.7603 (multiplicity 1)  4 Dy 2.97, 4 Pm 3.06

Calculated values
- total DFT energy (no corrections) (eV per atom) = -5.431
- ΔH_f (0 K) (meV per atom) = -542
- magnetic moment (μB per atom) = 0.000
- distance to the lowest polymorph of the same formula (meV/atom) = 0

Material: PmDyAgRh
Method: DFT, PBE-GGA
State: optimized geometry

Lattice parameters (Å, degrees): 7.1436 7.1436 7.1436 90.00 90.00 90.00
Last column: nearest neighbours and their distance in Å.
Space group F-43m (No. 216)
Unique sites:
Pm  0.0000  0.0000  0.0000 (multiplicity 4)  4 Ag 3.09, 4 Rh 3.09
Dy  0.0000  0.0000  0.5000 (multiplicity 4)  4 Rh 3.09, 4 Ag 3.09
Ag  0.2500  0.2500  0.2500 (multiplicity 4)  4 Dy 3.09, 4 Pm 3.09
Rh  0.2500  0.2500  0.7500 (multiplicity 4)  4 Dy 3.09, 4 Pm 3.09

Calculated values
- total DFT energy (no corrections) (eV per atom) = -5.403
- ΔH_f (0 K) (meV per atom) = -514
- magnetic moment (μB per atom) = 0.000
- distance to the lowest polymorph of the same formula (meV/atom) = 27

Material: PmDyAg2S4
Method: DFT, PBE-GGA
State: optimized geometry

Lattice parameters (Å, degrees): 6.5245 4.0883 7.0667 90.00 110.52 90.00
Last column: nearest neighbours and their distance in Å.
Space group P2/m (No. 10)
Unique sites:
Pm  0.0000  0.0000  0.0000 (multiplicity 1)  6 S 2.81-2.82
Dy  0.0000  0.5000  0.5000 (multiplicity 1)  6 S 2.76-2.77
Ag  0.5000  0.0000  0.5000 (multiplicity 1)  6 S 2.77-2.82
Ag  0.5000  0.5000  0.0000 (multiplicity 1)  6 S 2.83-2.86
S  0.2433  0.0000  0.7397 (multiplicity 2)  3 Ag 2.77-2.86, 2 Dy 2.77, 1 Pm 2.82
S  0.2452  0.5000  0.2518 (multiplicity 2)  1 Dy 2.76, 2 Pm 2.81, 3 Ag 2.82-2.83

Calculated values
- total DFT energy (no corrections) (eV per atom) = -5.212
- raw formation energy (eV/atom) = -1.266
- magnetic moment (μB per atom) = 0.000

Material: Pm2DyAgS5
Method: DFT, PBE-GGA
State: optimized geometry

Lattice parameters (Å, degrees): 3.9768 16.5679 12.0923 90.00 90.00 90.00
Last column: nearest neighbours and their distance in Å.
Space group Cmc2_1 (No. 36)
Unique sites:
Pm  0.0000  0.1110  0.0000 (multiplicity 4)  8 S 2.88-3.10
Pm  0.0000  0.1256  0.6178 (multiplicity 4)  8 S 2.89-3.12
Dy  0.0000  0.1946  0.3201 (multiplicity 4)  6 S 2.63-2.78
Ag  0.0000  0.4643  0.7826 (multiplicity 4)  3 S 2.42-2.45
S  0.0000  0.0466  0.3995 (multiplicity 4)  2 Ag 2.45, 1 Dy 2.63
S  0.0000  0.2876  0.9785 (multiplicity 4)  2 Dy 2.78, 3 Pm 2.94-2.98
S  0.0000  0.3057  0.6596 (multiplicity 4)  2 Dy 2.78, 1 Ag 3.02, 3 Pm 3.03-3.10
S  0.0000  0.3587  0.3152 (multiplicity 4)  1 Dy 2.72, 1 Ag 2.96, 2 Pm 3.03
S  0.0000  0.4989  0.0885 (multiplicity 4)  1 Ag 2.42

Calculated values
- total DFT energy (no corrections) (eV per atom) = -5.855
- raw formation energy (eV/atom) = -1.678
- magnetic moment (μB per atom) = 0.000

Material: PmDyAgSb
Method: DFT, PBE-GGA
State: optimized geometry

Lattice parameters (Å, degrees): 7.4729 7.4729 7.4729 90.00 90.00 90.00
Last column: nearest neighbours and their distance in Å.
Space group F-43m (No. 216)
Unique sites:
Pm  0.0000  0.0000  0.0000 (multiplicity 4)  4 Ag 3.24, 4 Sb 3.24
Dy  0.0000  0.0000  0.5000 (multiplicity 4)  4 Sb 3.24, 4 Ag 3.24
Ag  0.2500  0.2500  0.7500 (multiplicity 4)  4 Dy 3.24, 4 Pm 3.24
Sb  0.2500  0.2500  0.2500 (multiplicity 4)  4 Pm 3.24, 4 Dy 3.24

Calculated values
- total DFT energy (no corrections) (eV per atom) = -4.645
- raw formation energy (eV/atom) = -0.564
- magnetic moment (μB per atom) = 0.004